Record 1
Material: YTcSb2
Method: DFT, PBE-GGA
State: relaxed

Calculated values
Fermi-level density of states in states/eV/cell: 2.27
E above lowest polymorph in meV/atom: 151.1
Final energy in eV/cell: -25.88

abc: 3.6451 4.4651 5.7392
angles: 90.00 97.99 90.00
Fractional coordinates of all 4 atoms:
Y  0.0000  0.0000  0.0000
Tc  0.5000  0.0000  0.5000
Sb  0.3652  0.5000  0.7370
Sb  0.6348  0.5000  0.2630


Record 2
Material: YTc2Sb2
Method: DFT, PBE-GGA
State: relaxed

Calculated values
Fermi-level density of states in states/eV/cell: 6.97
E above lowest polymorph in meV/atom: 0.3
Final energy in eV/cell: -36.31

abc: 5.8352 5.8352 5.8352
angles: 131.26 131.26 71.40
Fractional coordinates of all 5 atoms:
Y  0.0000  0.0000  0.0000
Tc  0.3797  0.3797  0.0000
Tc  0.6203  0.6203  0.0000
Sb  0.2500  0.7500  0.5000
Sb  0.7500  0.2500  0.5000


Record 3
Material: YTc4Sb
Method: DFT, PBE-GGA
State: relaxed

Calculated values
Fermi-level density of states in states/eV/cell: 6.97
Final energy in eV/cell: -51.60

abc: 5.3266 5.3266 5.3266
angles: 60.00 60.00 60.00
Fractional coordinates of all 6 atoms:
Y  0.0000  0.0000  0.0000
Tc  0.3763  0.3763  0.3763
Tc  0.3763  0.3763  0.8710
Tc  0.3763  0.8710  0.3763
Tc  0.8710  0.3763  0.3763
Sb  0.7500  0.7500  0.7500